Zr2ZnMoIr | PBE | optimized geometry

Output
VASP energy, eV per atom: -6.798
Energy of formation, eV/atom: 0.815

Unit cell a=5.056 b=5.056 c=4.661 alpha=90.00 beta=90.00 gamma=90.00
Atoms (fractional coordinates):
Zr  0.000  0.500  0.000
Zr  0.500  0.000  0.000
Zn  0.000  0.000  0.500
Mo  0.500  0.500  0.000
Ir  0.500  0.500  0.500

---

ZrMoIr2 | PBE | optimized geometry

Output
VASP energy, eV per atom: -9.369
Energy of formation, eV/atom: -0.094

Unit cell a=2.846 b=2.846 c=8.198 alpha=90.00 beta=90.00 gamma=90.00
Atoms (fractional coordinates):
Zr  0.000  0.000  0.000
Mo  0.500  0.500  0.712
Ir  0.000  0.000  0.490
Ir  0.500  0.500  0.254

---

ZrMoIr2 | PBE | optimized geometry

Output
VASP energy, eV per atom: -9.476
Energy of formation, eV/atom: -0.201

Unit cell a=3.364 b=3.364 c=6.014 alpha=90.00 beta=90.00 gamma=90.00
Atoms (fractional coordinates):
Zr  0.000  0.000  0.000
Mo  0.500  0.500  0.690
Ir  0.000  0.000  0.506
Ir  0.500  0.500  0.226

---

Zr2MoIr | PBE | optimized geometry

Output
VASP energy, eV per atom: -9.317
Energy of formation, eV/atom: -0.120

Unit cell a=3.347 b=3.347 c=6.604 alpha=90.00 beta=90.00 gamma=90.00
Atoms (fractional coordinates):
Zr  0.000  0.000  0.000
Zr  0.500  0.500  0.288
Mo  0.500  0.500  0.752
Ir  0.000  0.000  0.529

---

ZrMoIr2 | PBE | optimized geometry

Output
VASP energy, eV per atom: -9.693
Energy of formation, eV/atom: -0.418

Unit cell a=2.898 b=4.604 c=4.997 alpha=90.00 beta=96.32 gamma=90.00
Atoms (fractional coordinates):
Zr  0.000  0.000  0.000
Mo  0.180  0.500  0.622
Ir  0.544  0.500  0.143
Ir  0.577  0.000  0.496

---

ZrMoIr2 | PBE | optimized geometry

Output
VASP energy, eV per atom: -9.696
Energy of formation, eV/atom: -0.421

Unit cell a=4.084 b=4.084 c=3.918 alpha=90.00 beta=90.00 gamma=90.00
Atoms (fractional coordinates):
Zr  0.000  0.000  0.000
Mo  0.500  0.500  0.000
Ir  0.000  0.500  0.500
Ir  0.500  0.000  0.500